This record from Alexandria via LeMat-Bulk describes a geometry-optimized Pr2ThMg2Sn2 structure. The functional is PBE.

Results
formation energy: -0.30 eV per atom

Geometry as CIF:
```
data_Pr2ThMg2Sn2
_chemical_formula_sum 'Pr6 Th3 Mg6 Sn6'
_symmetry_space_group_name_H-M 'R -3 m'
_symmetry_Int_Tables_number 166
_symmetry_space_group_name_Hall '-R 3 2"'
_cell_length_a 5.0524
_cell_length_b 5.0524
_cell_length_c 27.1976
_cell_angle_alpha 90.00
_cell_angle_beta 90.00
_cell_angle_gamma 120.00
loop_
_atom_site_label
_atom_site_type_symbol
_atom_site_fract_x
_atom_site_fract_y
_atom_site_fract_z
Pr1 Pr 0.0000 0.0000 0.1281
Th1 Th 0.0000 0.0000 0.0000
Mg1 Mg 0.0000 0.0000 0.4009
Sn1 Sn 0.0000 0.0000 0.2658
```

***

This record from Alexandria via LeMat-Bulk describes a geometry-optimized MnCl2 structure. The functional is PBE.

Results
formation energy (no corrections): -1.0831 eV/atom

Geometry as CIF:
```
data_MnCl2
_chemical_formula_sum 'Mn4 Cl8'
_symmetry_space_group_name_H-M 'C m c e'
_symmetry_Int_Tables_number 64
_symmetry_space_group_name_Hall '-C 2ac 2'
_cell_length_a 3.7156
_cell_length_b 6.4223
_cell_length_c 13.0535
_cell_angle_alpha 90.00
_cell_angle_beta 90.00
_cell_angle_gamma 90.00
loop_
_atom_site_label
_atom_site_type_symbol
_atom_site_fract_x
_atom_site_fract_y
_atom_site_fract_z
Mn1 Mn 0.0000 0.0000 0.0000
Cl1 Cl 0.0000 0.1663 0.3939
```

***

This record from Alexandria via LeMat-Bulk describes a geometry-optimized Tl2Te3As structure. The functional is PBE.

Results
formation energy (no corrections): -0.0815 eV/atom
distance to the lowest polymorph of the same formula: 3.1 kJ/mol of atoms

Geometry as CIF:
```
data_Tl2Te3As
_chemical_formula_sum 'Tl8 Te12 As4'
_symmetry_space_group_name_H-M 'C 1 2/c 1'
_symmetry_Int_Tables_number 15
_cell_length_a 12.5454
_cell_length_b 9.2908
_cell_length_c 7.2370
_cell_angle_alpha 90.00
_cell_angle_beta 94.08
_cell_angle_gamma 90.00
loop_
_symmetry_equiv_pos_as_xyz
'x,y,z'
'-x,-y,-z'
'-x,y,-z+1/2'
'x,-y,z+1/2'
'x+1/2,y+1/2,z'
'-x+1/2,-y+1/2,-z'
'-x+1/2,y+1/2,-z+1/2'
'x+1/2,-y+1/2,z+1/2'
loop_
_atom_site_label
_atom_site_type_symbol
_atom_site_fract_x
_atom_site_fract_y
_atom_site_fract_z
Tl1 Tl 0.1382 0.1760 0.1747
Te1 Te 0.0000 0.1427 0.7500
Te2 Te 0.1660 0.4845 0.5092
As1 As 0.0000 0.4253 0.7500
```

***

This record from Alexandria via LeMat-Bulk describes a geometry-optimized SrScSe3 structure. The functional is PBE.

Results
formation energy (no corrections): -0.1025 eV/atom
distance to the lowest polymorph of the same formula: 127.8 kJ/mol of atoms

Geometry as CIF:
```
data_SrScSe3
_chemical_formula_sum 'Sr1 Sc1 Se3'
_symmetry_space_group_name_H-M 'P m -3 m'
_symmetry_Int_Tables_number 221
_symmetry_space_group_name_Hall '-P 4 2 3'
_cell_length_a 5.5513
_cell_length_b 5.5513
_cell_length_c 5.5513
_cell_angle_alpha 90.00
_cell_angle_beta 90.00
_cell_angle_gamma 90.00
loop_
_atom_site_label
_atom_site_type_symbol
_atom_site_fract_x
_atom_site_fract_y
_atom_site_fract_z
Sr1 Sr 0.0000 0.0000 0.0000
Sc1 Sc 0.5000 0.5000 0.5000
Se1 Se 0.0000 0.0000 0.5000
```

***

This record from Alexandria via LeMat-Bulk describes a geometry-optimized GdMnB2 structure. The functional is PBE.

Results
formation energy: -0.12 eV per atom

Geometry as CIF:
```
data_GdMnB2
_chemical_formula_sum 'Gd3 Mn3 B6'
_symmetry_space_group_name_H-M 'R -3 m'
_symmetry_Int_Tables_number 166
_symmetry_space_group_name_Hall '-R 3 2"'
_cell_length_a 3.5098
_cell_length_b 3.5098
_cell_length_c 14.2046
_cell_angle_alpha 90.00
_cell_angle_beta 90.00
_cell_angle_gamma 120.00
loop_
_atom_site_label
_atom_site_type_symbol
_atom_site_fract_x
_atom_site_fract_y
_atom_site_fract_z
Gd1 Gd 0.0000 0.0000 0.0000
Mn1 Mn 0.0000 0.0000 0.5000
B1 B 0.0000 0.0000 0.1965
```

***

This record from Alexandria via LeMat-Bulk describes a geometry-optimized ScOs structure. The functional is PBE.

Results
formation energy: -0.04 eV per atom

Geometry as CIF:
```
data_ScOs
_chemical_formula_sum 'Sc3 Os3'
_symmetry_space_group_name_H-M 'R -3 m'
_symmetry_Int_Tables_number 166
_symmetry_space_group_name_Hall '-R 3 2"'
_cell_length_a 3.0550
_cell_length_b 3.0550
_cell_length_c 12.5716
_cell_angle_alpha 90.00
_cell_angle_beta 90.00
_cell_angle_gamma 120.00
loop_
_atom_site_label
_atom_site_type_symbol
_atom_site_fract_x
_atom_site_fract_y
_atom_site_fract_z
Sc1 Sc 0.0000 0.0000 0.0000
Os1 Os 0.0000 0.0000 0.5000
```

***

This record from Alexandria via LeMat-Bulk describes a geometry-optimized YHo2Al structure. The functional is PBE.

Results
formation energy: -0.19 eV per atom
distance to the lowest polymorph of the same formula: 0.9 kJ/mol of atoms

Geometry as CIF:
```
data_YHo2Al
_chemical_formula_sum 'Y1 Ho2 Al1'
_symmetry_space_group_name_H-M 'P 4/m m m'
_symmetry_Int_Tables_number 123
_symmetry_space_group_name_Hall '-P 4 2'
_cell_length_a 4.7439
_cell_length_b 4.7439
_cell_length_c 4.7694
_cell_angle_alpha 90.00
_cell_angle_beta 90.00
_cell_angle_gamma 90.00
loop_
_atom_site_label
_atom_site_type_symbol
_atom_site_fract_x
_atom_site_fract_y
_atom_site_fract_z
Y1 Y 0.0000 0.0000 0.0000
Ho1 Ho 0.0000 0.5000 0.5000
Al1 Al 0.5000 0.5000 0.0000
```

***

This record from Alexandria via LeMat-Bulk describes a geometry-optimized GeH8N2OF6 structure. The functional is PBE.

Geometry as CIF:
```
data_GeH8N2OF6
_chemical_formula_sum 'Ge4 H32 N8 O4 F24'
_symmetry_space_group_name_H-M 'P n m a'
_symmetry_Int_Tables_number 62
_cell_length_a 8.8592
_cell_length_b 9.2758
_cell_length_c 7.5599
_cell_angle_alpha 90.00
_cell_angle_beta 90.00
_cell_angle_gamma 90.00
loop_
_symmetry_equiv_pos_as_xyz
'x,y,z'
'-x,-y,-z'
'-x+1/2,-y,z+1/2'
'x+1/2,y,-z+1/2'
'x+1/2,-y+1/2,-z+1/2'
'-x+1/2,y+1/2,z+1/2'
'-x,y+1/2,-z'
'x,-y+1/2,z'
loop_
_atom_site_label
_atom_site_type_symbol
_atom_site_fract_x
_atom_site_fract_y
_atom_site_fract_z
Ge1 Ge 0.1537 0.2500 0.0061
H1 H 0.0511 0.5738 0.6561
H2 H 0.0845 0.5554 0.3525
H3 H 0.1162 0.1092 0.4567
H4 H 0.1837 0.7500 0.9428
H5 H 0.2455 0.7500 0.1386
N1 N 0.0344 0.0289 0.4211
O1 O 0.2215 0.2500 0.5137
F1 F 0.0119 0.7500 0.8460
F2 F 0.0760 0.1117 0.8660
F3 F 0.1697 0.7500 0.3631
F4 F 0.2428 0.1114 0.1450
```

***

This record from Alexandria via LeMat-Bulk describes a geometry-optimized Na5SnBr8 structure. The functional is PBE.

Results
formation energy (no corrections): -1.2224 eV/atom

Geometry as CIF:
```
data_Na5SnBr8
_chemical_formula_sum 'Na10 Sn2 Br16'
_symmetry_space_group_name_H-M 'I -4'
_symmetry_Int_Tables_number 82
_cell_length_a 10.2344
_cell_length_b 10.2344
_cell_length_c 8.6541
_cell_angle_alpha 90.00
_cell_angle_beta 90.00
_cell_angle_gamma 90.00
loop_
_symmetry_equiv_pos_as_xyz
'x,y,z'
'y,-x,-z'
'-x,-y,z'
'-y,x,-z'
'x+1/2,y+1/2,z+1/2'
'y+1/2,-x+1/2,-z+1/2'
'-x+1/2,-y+1/2,z+1/2'
'-y+1/2,x+1/2,-z+1/2'
loop_
_atom_site_label
_atom_site_type_symbol
_atom_site_fract_x
_atom_site_fract_y
_atom_site_fract_z
Na1 Na 0.0000 0.0000 0.0000
Na2 Na 0.2187 0.7232 0.8617
Sn1 Sn 0.0000 0.5000 0.2500
Br1 Br 0.0340 0.2555 0.3678
Br2 Br 0.0599 0.2623 0.9090
```

***

This record from Alexandria via LeMat-Bulk describes a geometry-optimized KOs2Rh structure. The functional is PBE.

Results
formation energy: 0.70 eV per atom
distance to the lowest polymorph of the same formula: 3.9 kJ/mol of atoms

Geometry as CIF:
```
data_KOs2Rh
_chemical_formula_sum 'K1 Os2 Rh1'
_symmetry_space_group_name_H-M 'P 1 m 1'
_symmetry_Int_Tables_number 6
_cell_length_a 2.7071
_cell_length_b 3.8287
_cell_length_c 7.7756
_cell_angle_alpha 90.00
_cell_angle_beta 90.29
_cell_angle_gamma 90.00
loop_
_symmetry_equiv_pos_as_xyz
'x,y,z'
'x,-y,z'
loop_
_atom_site_label
_atom_site_type_symbol
_atom_site_fract_x
_atom_site_fract_y
_atom_site_fract_z
K1 K 0.0000 0.0000 0.0000
Os1 Os 0.0017 0.0000 0.5076
Os2 Os 0.5044 0.5000 0.6525
Rh1 Rh 0.4991 0.5000 0.3224
```

***

Energy, record by record: -4.3273, -5.3707, -3.2160, -3.7958, -9.2750, -8.8208, -5.0302, -4.9366, -2.9353, -7.0270 eV per atom